The following is a DFT calculation (GGA-PBE) of a relaxed ScTc2Te crystal.

The structure belongs to space group C2/m (No. 12); the cell edges are 5.847, 8.846 and 3.087 Å and the angles 90.00°, 117.72° and 90.00°. The inequivalent atoms are Sc at (0.000, 0.000, 0.000), Tc at (0.250, 0.250, 0.500) and Te at (0.000, 0.500, 0.000).

As for the formation energy (no corrections): 0.183 eV per atom. The raw total energy is -7.3687 eV/atom. Its crystal system is monoclinic. For the calculated volume, the calculation gives 17.67 Å³/atom.